PSIO2: optimized geometry, PBE.

The value obtained for the uncorrected energy is -18.48 eV for the cell shown. As for the raw formation energy: 0.50 eV/atom.

```
5
Lattice="3.703 0.000 0.000 0.000 3.703 0.000 0.000 0.000 7.668" Properties=species:S:1:pos:R:3 pbc="T T T"
P 0.000 0.000 0.000
S 1.851 1.851 3.834
I 1.851 1.851 0.000
O 0.000 1.851 3.834
O 1.851 0.000 3.834
```

TaTi5P3: optimized geometry, PBE.

The calculation puts the energy of formation from the pure elements at -535 meV/atom. The value obtained for the uncorrected energy is -144.75 eV for the cell shown.

```
18
Lattice="5.337 -3.907 0.000 5.337 3.907 0.000 -3.602 0.000 7.848" Properties=species:S:1:pos:R:3 pbc="T T T"
Ta 0.098 0.000 2.434
Ta 6.975 0.000 5.414
Ti 2.090 2.304 2.826
Ti 2.336 0.000 0.113
Ti 5.337 1.581 0.000
Ti 4.983 2.304 5.022
Ti 2.231 0.000 4.832
Ti 4.841 0.000 3.016
Ti 2.090 -2.304 2.826
Ti 5.337 -1.581 0.000
Ti 4.736 0.000 7.734
Ti 4.983 -2.304 5.022
P 0.000 0.000 0.000
P -1.801 0.000 3.924
P 0.576 0.000 6.519
P 2.542 0.000 2.451
P 4.530 0.000 5.397
P 6.497 0.000 1.328
```

CuIr2W: optimized geometry, PBE.

The calculation puts the energy of formation from the pure elements at 8 meV/atom. Its energy above the most stable polymorph in this dataset is 0.167 eV/atom. The value obtained for the uncorrected energy is -34.74 eV for the cell shown.

```
4
Lattice="4.575 -1.371 0.000 4.575 1.371 0.000 -0.806 0.000 4.638" Properties=species:S:1:pos:R:3 pbc="T T T"
Cu 0.000 0.000 0.000
Ir 1.631 0.000 3.632
Ir 4.292 0.000 2.296
W 6.742 0.000 1.291
```

ErCdAg2: optimized geometry, PBE.

The calculation puts the energy of formation from the pure elements at -275 meV/atom. Its energy above the most stable polymorph in this dataset is 0.000 eV/atom. The value obtained for the uncorrected energy is -24.56 eV for the cell shown.

```
8
Lattice="5.019 0.000 0.000 0.000 6.685 0.000 0.000 0.000 5.004" Properties=species:S:1:pos:R:3 pbc="T T T"
Er 1.255 1.671 0.979
Er 3.764 5.014 4.026
Cd 1.255 5.014 1.063
Cd 3.764 1.671 3.942
Ag 1.255 3.369 3.484
Ag 1.255 6.659 3.484
Ag 3.764 0.026 1.520
Ag 3.764 3.316 1.520
```

Nb2Pd8Rh: optimized geometry, PBE.

The calculation puts the energy of formation from the pure elements at -230 meV/atom. The value obtained for the uncorrected energy is -71.56 eV for the cell shown.

```
11
Lattice="7.102 -1.994 0.000 7.102 1.994 0.000 -1.914 0.000 6.101" Properties=species:S:1:pos:R:3 pbc="T T T"
Nb 2.804 0.000 0.947
Nb 9.485 0.000 5.154
Pd 0.186 0.000 1.426
Pd 0.712 0.000 4.269
Pd 3.422 0.000 3.606
Pd 5.647 0.000 0.318
Pd 6.642 0.000 5.783
Pd 8.867 0.000 2.495
Pd 11.578 0.000 1.832
Pd 12.104 0.000 4.676
Rh 6.145 0.000 3.051
```

USnBi2: optimized geometry, PBE.

The calculation puts the energy of formation from the pure elements at 19 meV/atom. Its energy above the most stable polymorph in this dataset is 0.000 eV/atom. The value obtained for the uncorrected energy is -45.95 eV for the cell shown.

```
8
Lattice="-3.404 4.157 3.972 3.404 -4.157 3.972 3.404 4.157 -3.972" Properties=species:S:1:pos:R:3 pbc="T T T"
U 0.000 2.078 0.285
U 3.404 2.078 3.687
Sn 3.404 2.078 0.315
Sn 0.000 2.078 3.657
Bi 1.702 3.907 -1.986
Bi 1.702 -0.250 1.986
Bi -1.702 4.406 1.986
Bi 1.702 4.406 1.986
```